BaCrHgBi2 PBE relaxed; formation energy from the elements = 1186 meV per atom; crystal system = tetragonal; DFT total energy = -2.736 eV/atom
1.0
5.7093 0.0000 0.0000
0.0000 6.1677 0.0000
0.0000 0.0000 5.7093
Cr Ba Bi Hg
1 1 2 1
Direct
0.5000 0.5000 0.5000
0.0000 0.5000 0.0000
0.0000 0.0000 0.5000
0.5000 0.0000 0.0000
0.0000 0.0000 0.0000

---

KBa2CrBi PBE relaxed; formation energy from the elements = 870 meV per atom; crystal system = tetragonal; DFT total energy = -2.820 eV/atom
1.0
-0.0451 6.3323 1.7659
0.3857 -1.5793 5.6732
6.5598 0.1588 -0.4017
Cr K Bi Ba
1 1 1 2
Direct
0.5000 0.5000 0.5000
0.0000 0.0000 0.0000
0.0000 0.5000 0.0000
0.0000 0.0000 0.5000
0.5000 0.0000 0.0000

---

Question: Which formula does entry 2 have?
Answer: KBa2CrBi

---

Question: What is the DFT total energy in the second record?
Answer: -2.820 eV/atom